(1)
A PBEsol-optimized structure of SrLiAl3N4. Source: Alexandria, functional meta-GGA SCAN.

Cell and atoms, written as CIF:
```
data_SrLiAl3N4
_cell_length_a 5.830
_cell_length_b 7.465
_cell_length_c 9.913
_cell_angle_alpha 83.54
_cell_angle_beta 76.80
_cell_angle_gamma 79.55
_space_group_name_H-M_alt 'P -1'
_space_group_IT_number 2
_space_group_name_Hall '-P 1'
loop_
_atom_site_label
_atom_site_type_symbol
_atom_site_fract_x
_atom_site_fract_y
_atom_site_fract_z
Sr1 Sr 0.003 0.134 0.127
Sr2 Sr 0.023 0.385 0.371
Li1 Li 0.207 0.181 0.645
Li2 Li 0.467 0.324 0.113
Al1 Al 0.169 0.707 0.147
Al2 Al 0.175 0.940 0.398
Al3 Al 0.180 0.443 0.900
Al4 Al 0.438 0.797 0.633
Al5 Al 0.448 0.046 0.876
Al6 Al 0.469 0.562 0.375
N1 N 0.152 0.931 0.593
N2 N 0.162 0.475 0.090
N3 N 0.169 0.205 0.856
N4 N 0.196 0.709 0.333
N5 N 0.342 0.592 0.762
N6 N 0.349 0.867 0.028
N7 N 0.371 0.355 0.505
N8 N 0.383 0.085 0.279
```

Summary:
ΔE_f (raw), eV per atom: -1.4197
Total magnetization, μB/atom: 0.000
Fermi-level density of states, states/eV per atom: 0.0000

***

(2)
A PBEsol-optimized structure of SrLi3Ag. Source: Alexandria, functional meta-GGA SCAN.

Cell and atoms, written as CIF:
```
data_SrLi3Ag
_cell_length_a 5.050
_cell_length_b 5.050
_cell_length_c 5.050
_cell_angle_alpha 90.00
_cell_angle_beta 90.00
_cell_angle_gamma 90.00
_space_group_name_H-M_alt 'P m -3 m'
_space_group_IT_number 221
_space_group_name_Hall '-P 4 2 3'
loop_
_atom_site_label
_atom_site_type_symbol
_atom_site_fract_x
_atom_site_fract_y
_atom_site_fract_z
Sr1 Sr 0.000 0.000 0.000
Li1 Li 0.000 0.500 0.500
Ag1 Ag 0.500 0.500 0.500
```

Summary:
Energy of formation from the pure elements, eV/atom: -0.053
Total magnetization, μB/atom: 0.000
Fermi-level density of states, states/eV per atom: 0.4890

***

(3)
A PBEsol-optimized structure of MnReRu. Source: Alexandria, functional meta-GGA SCAN.

Cell and atoms, written as CIF:
```
data_MnReRu
_cell_length_a 5.780
_cell_length_b 5.780
_cell_length_c 5.780
_cell_angle_alpha 90.00
_cell_angle_beta 90.00
_cell_angle_gamma 90.00
_space_group_name_H-M_alt 'F -4 3 m'
_space_group_IT_number 216
_space_group_name_Hall 'F -4 2 3'
loop_
_atom_site_label
_atom_site_type_symbol
_atom_site_fract_x
_atom_site_fract_y
_atom_site_fract_z
Mn1 Mn 0.000 0.000 0.000
Re1 Re 0.000 0.000 0.500
Ru1 Ru 0.250 0.250 0.750
```

Summary:
Energy of formation from the pure elements, eV/atom: 0.435
Total magnetization, μB/atom: 1.389
Fermi-level density of states, states/eV per atom: 0.9618

***

(4)
A PBEsol-optimized structure of TlReSe2. Source: Alexandria, functional meta-GGA SCAN.

Cell and atoms, written as CIF:
```
data_TlReSe2
_cell_length_a 3.095
_cell_length_b 5.413
_cell_length_c 9.827
_cell_angle_alpha 90.00
_cell_angle_beta 90.00
_cell_angle_gamma 90.00
_space_group_name_H-M_alt 'C m m m'
_space_group_IT_number 65
_space_group_name_Hall '-C 2 2'
loop_
_atom_site_label
_atom_site_type_symbol
_atom_site_fract_x
_atom_site_fract_y
_atom_site_fract_z
Tl1 Tl 0.000 0.000 0.000
Re1 Re 0.000 0.000 0.500
Se1 Se 0.000 0.500 0.300
```

Summary:
ΔE_f (raw), eV per atom: 0.4874
Total magnetization, μB/atom: 0.250
Fermi-level density of states, states/eV per atom: 0.6575

***

(5)
A PBEsol-optimized structure of BaP2Rh. Source: Alexandria, functional meta-GGA SCAN.

Cell and atoms, written as CIF:
```
data_BaP2Rh
_cell_length_a 5.013
_cell_length_b 5.013
_cell_length_c 3.122
_cell_angle_alpha 90.00
_cell_angle_beta 90.00
_cell_angle_gamma 90.00
_space_group_name_H-M_alt 'P 4/m m m'
_space_group_IT_number 123
_space_group_name_Hall '-P 4 2'
loop_
_atom_site_label
_atom_site_type_symbol
_atom_site_fract_x
_atom_site_fract_y
_atom_site_fract_z
Ba1 Ba 0.000 0.000 0.000
P1 P 0.000 0.500 0.500
Rh1 Rh 0.500 0.500 0.000
```

Summary:
Energy of formation from the pure elements, eV/atom: 0.398
Total magnetization, μB/atom: 0.000
Fermi-level density of states, states/eV per atom: 1.1119

***

(6)
A PBEsol-optimized structure of Be2Cu2Ag. Source: Alexandria, functional meta-GGA SCAN.

Cell and atoms, written as CIF:
```
data_Be2Cu2Ag
_cell_length_a 6.370
_cell_length_b 6.370
_cell_length_c 2.694
_cell_angle_alpha 90.00
_cell_angle_beta 90.00
_cell_angle_gamma 90.00
_space_group_name_H-M_alt 'P 4/m b m'
_space_group_IT_number 127
_space_group_name_Hall '-P 4 2ab'
loop_
_atom_site_label
_atom_site_type_symbol
_atom_site_fract_x
_atom_site_fract_y
_atom_site_fract_z
Be1 Be 0.129 0.371 0.000
Cu1 Cu 0.158 0.658 0.500
Ag1 Ag 0.000 0.000 0.000
```

Summary:
Energy of formation from the pure elements, eV/atom: -0.063
Total magnetization, μB/atom: 0.000
Fermi-level density of states, states/eV per atom: 0.2727